Crystalline MnV2AsO8 at its relaxed geometry, computed with GGA+U.

Values from the calculation:
For the calculated total energy, the calculation gives -7.230 eV/atom.

Unit cell a=4.466 b=4.466 c=6.101 alpha=90.00 beta=90.00 gamma=90.27
Fractional coordinates of all 12 atoms:
1 Mn 0.000 0.000 0.000
2 V 0.500 0.500 0.250
3 V 0.500 0.500 0.750
4 As 0.000 0.000 0.500
5 O 0.197 0.803 0.272
6 O 0.197 0.803 0.728
7 O 0.295 0.295 0.500
8 O 0.306 0.306 0.000
9 O 0.694 0.694 0.000
10 O 0.705 0.705 0.500
11 O 0.803 0.197 0.272
12 O 0.803 0.197 0.728